[1]
Material: AcLaPmSn
Method: DFT, GGA-PBE
State: optimized geometry

Results
- Fermi-level density of states: 6.93 states/eV/f.u.
- Mass density: 7.9 g/cm3
- E_tot: -4.6810 eV/atom
- Volume: 527 Å³/cell

Structure (CIF):
```
data_AcLaPmSn
_symmetry_space_group_name_H-M 'F -4 3 m'
_symmetry_Int_Tables_number 216
_symmetry_space_group_name_Hall 'F -4 2 3'
_cell_length_a 8.077
_cell_length_b 8.077
_cell_length_c 8.077
_cell_angle_alpha 90.00
_cell_angle_beta 90.00
_cell_angle_gamma 90.00
loop_
_atom_site_label
_atom_site_type_symbol
_atom_site_fract_x
_atom_site_fract_y
_atom_site_fract_z
Ac1 Ac 0.000 0.000 0.000
La1 La 0.250 0.250 0.250
Pm1 Pm 0.250 0.250 0.750
Sn1 Sn 0.000 0.000 0.500
```



[2]
Material: SrTa3As
Method: DFT, GGA-PBE
State: optimized geometry

Results
- Fermi-level density of states: 5.73 states/eV/f.u.
- Mass density: 9.9 g/cm3
- E_tot: -5.4362 eV/atom
- Volume: 118 Å³/cell

Structure (CIF):
```
data_SrTa3As
_symmetry_space_group_name_H-M 'P m -3 m'
_symmetry_Int_Tables_number 221
_symmetry_space_group_name_Hall '-P 4 2 3'
_cell_length_a 4.906
_cell_length_b 4.906
_cell_length_c 4.906
_cell_angle_alpha 90.00
_cell_angle_beta 90.00
_cell_angle_gamma 90.00
loop_
_atom_site_label
_atom_site_type_symbol
_atom_site_fract_x
_atom_site_fract_y
_atom_site_fract_z
Sr1 Sr 0.000 0.000 0.000
Ta1 Ta 0.000 0.000 0.500
As1 As 0.500 0.500 0.500
```



[3]
Material: AcLa3Cu2
Method: DFT, GGA-PBE
State: optimized geometry

Results
- Fermi-level density of states: 6.85 states/eV/f.u.
- Mass density: 7.2 g/cm3
- E_tot: -4.5938 eV/atom
- Volume: 179 Å³/cell

Structure (CIF):
```
data_AcLa3Cu2
_symmetry_space_group_name_H-M 'P 4/m m m'
_symmetry_Int_Tables_number 123
_symmetry_space_group_name_Hall '-P 4 2'
_cell_length_a 3.715
_cell_length_b 3.715
_cell_length_c 12.971
_cell_angle_alpha 90.00
_cell_angle_beta 90.00
_cell_angle_gamma 90.00
loop_
_atom_site_label
_atom_site_type_symbol
_atom_site_fract_x
_atom_site_fract_y
_atom_site_fract_z
Ac1 Ac 0.000 0.000 0.000
La1 La 0.500 0.500 0.227
La2 La 0.500 0.500 0.500
Cu1 Cu 0.000 0.000 0.360
```



[4]
Material: GdErHg
Method: DFT, GGA-PBE
State: optimized geometry

Results
- Fermi-level density of states: 2.86 states/eV/f.u.
- Mass density: 10.3 g/cm3
- E_tot: -6.5102 eV/atom
- Volume: 85 Å³/cell

Structure (CIF):
```
data_GdErHg
_symmetry_space_group_name_H-M 'P 3 m 1'
_symmetry_Int_Tables_number 156
_symmetry_space_group_name_Hall 'P 3 -2"'
_cell_length_a 5.1303
_cell_length_b 5.1303
_cell_length_c 3.7086
_cell_angle_alpha 90.00
_cell_angle_beta 90.00
_cell_angle_gamma 120.00
loop_
_atom_site_label
_atom_site_type_symbol
_atom_site_fract_x
_atom_site_fract_y
_atom_site_fract_z
Gd1 Gd 0.0000 0.0000 0.0000
Er1 Er 0.6667 0.3333 0.5330
Hg1 Hg 0.3333 0.6667 0.3660
```



[5]
Material: Pu11Pd4Pb9
Method: DFT, GGA-PBE
State: optimized geometry

Results
- Fermi-level density of states: 116.63 states/eV/f.u.
- Mass density: 13.1 g/cm3
- E_tot: -9.0623 eV/atom
- Volume: 1257 Å³/cell

Structure (CIF):
```
data_Pu11Pd4Pb9
_symmetry_space_group_name_H-M 'C m m m'
_symmetry_Int_Tables_number 65
_symmetry_space_group_name_Hall '-C 2 2'
_cell_length_a 14.442
_cell_length_b 21.383
_cell_length_c 4.070
_cell_angle_alpha 90.00
_cell_angle_beta 90.00
_cell_angle_gamma 90.00
loop_
_atom_site_label
_atom_site_type_symbol
_atom_site_fract_x
_atom_site_fract_y
_atom_site_fract_z
Pu1 Pu 0.000 0.000 0.000
Pu2 Pu 0.000 0.151 0.000
Pu3 Pu 0.000 0.368 0.000
Pu4 Pu 0.190 0.500 0.000
Pu5 Pu 0.243 0.176 0.000
Pd1 Pd 0.150 0.398 0.500
Pb1 Pb 0.000 0.500 0.500
Pb2 Pb 0.108 0.258 0.500
Pb3 Pb 0.146 0.075 0.500
```



[6]
Material: Hf2Sc2Al
Method: DFT, GGA-PBE
State: optimized geometry

Results
- Fermi-level density of states: 4.35 states/eV/f.u.
- Mass density: 7.4 g/cm3
- E_tot: -7.4240 eV/atom
- Volume: 427 Å³/cell

Structure (CIF):
```
data_Hf2Sc2Al
_symmetry_space_group_name_H-M 'C m c m'
_symmetry_Int_Tables_number 63
_symmetry_space_group_name_Hall '-C 2c 2'
_cell_length_a 4.357
_cell_length_b 22.618
_cell_length_c 4.337
_cell_angle_alpha 90.00
_cell_angle_beta 90.00
_cell_angle_gamma 90.00
loop_
_atom_site_label
_atom_site_type_symbol
_atom_site_fract_x
_atom_site_fract_y
_atom_site_fract_z
Hf1 Hf 0.000 0.154 0.250
Hf2 Hf 0.000 0.251 0.750
Sc1 Sc 0.000 0.054 0.750
Sc2 Sc 0.000 0.444 0.750
Al1 Al 0.000 0.347 0.250
```



> Which value of mass density does entry 6 give?

7.4 g/cm3